Entry 1:
# PrDyS2F2 | the Open Quantum Materials Database | PBE | relaxed
data_PrDyS2F2
_chemical_formula_sum 'Pr1 Dy1 S2 F2'
_cell_length_a 3.844
_cell_length_b 3.844
_cell_length_c 6.879
_cell_angle_alpha 90.00
_cell_angle_beta 90.00
_cell_angle_gamma 90.00
_symmetry_space_group_name_H-M 'P 4 m m'
_symmetry_Int_Tables_number 99
_symmetry_space_group_name_Hall 'P 4 -2'
loop_
_atom_site_label
_atom_site_type_symbol
_atom_site_fract_x
_atom_site_fract_y
_atom_site_fract_z
Pr1 Pr 0.000 0.000 0.000
Dy1 Dy 0.500 0.500 0.459
S1 S 0.000 0.000 0.578
S2 S 0.500 0.500 0.864
F1 F 0.000 0.500 0.236
# Uncorrected energy: -39.289 eV per formula unit


Entry 2:
# Pr2Dy2SiF5 | the Open Quantum Materials Database | PBE | relaxed
data_Pr2Dy2SiF5
_chemical_formula_sum 'Pr4 Dy4 Si2 F10'
_cell_length_a 15.650
_cell_length_b 3.588
_cell_length_c 7.882
_cell_angle_alpha 90.00
_cell_angle_beta 118.42
_cell_angle_gamma 90.00
_symmetry_space_group_name_H-M 'C 1 2/m 1'
_symmetry_Int_Tables_number 12
_symmetry_space_group_name_Hall '-C 2y'
loop_
_atom_site_label
_atom_site_type_symbol
_atom_site_fract_x
_atom_site_fract_y
_atom_site_fract_z
Pr1 Pr 0.011 0.000 0.279
Dy1 Dy 0.195 0.500 0.149
Si1 Si 0.000 0.500 0.000
F1 F 0.000 0.500 0.500
F2 F 0.175 0.000 0.927
F3 F 0.227 0.500 0.680
# Uncorrected energy: -59.645 eV per formula unit


Entry 3:
# DyPtF7 | the Open Quantum Materials Database | PBE | relaxed
data_DyPtF7
_chemical_formula_sum 'Dy4 Pt4 F28'
_cell_length_a 8.521
_cell_length_b 5.220
_cell_length_c 11.691
_cell_angle_alpha 90.00
_cell_angle_beta 117.47
_cell_angle_gamma 90.00
_symmetry_space_group_name_H-M 'P 1 21/c 1'
_symmetry_Int_Tables_number 14
_symmetry_space_group_name_Hall '-P 2ybc'
loop_
_atom_site_label
_atom_site_type_symbol
_atom_site_fract_x
_atom_site_fract_y
_atom_site_fract_z
Dy1 Dy 0.187 0.231 0.260
Pt1 Pt 0.272 0.740 0.041
F1 F 0.015 0.734 0.456
F2 F 0.040 0.622 0.727
F3 F 0.243 0.091 0.457
F4 F 0.265 0.570 0.186
F5 F 0.299 0.581 0.405
F6 F 0.308 0.059 0.137
F7 F 0.474 0.178 0.375
# Uncorrected energy: -46.660 eV per formula unit


Entry 4:
# DyPtF3 | the Open Quantum Materials Database | PBE | relaxed
data_DyPtF3
_chemical_formula_sum 'Dy4 Pt4 F12'
_cell_length_a 3.973
_cell_length_b 13.857
_cell_length_c 4.683
_cell_angle_alpha 90.00
_cell_angle_beta 90.00
_cell_angle_gamma 90.00
_symmetry_space_group_name_H-M 'C m c m'
_symmetry_Int_Tables_number 63
_symmetry_space_group_name_Hall '-C 2c 2'
loop_
_atom_site_label
_atom_site_type_symbol
_atom_site_fract_x
_atom_site_fract_y
_atom_site_fract_z
Dy1 Dy 0.000 0.166 0.250
Pt1 Pt 0.000 0.474 0.250
F1 F 0.000 0.123 0.750
F2 F 0.000 0.303 0.508
# Uncorrected energy: -28.831 eV per formula unit


Entry 5:
# DyYS2F2 | the Open Quantum Materials Database | PBE | relaxed
data_DyYS2F2
_chemical_formula_sum 'Dy1 Y1 S2 F2'
_cell_length_a 3.751
_cell_length_b 3.751
_cell_length_c 6.793
_cell_angle_alpha 90.00
_cell_angle_beta 90.00
_cell_angle_gamma 90.00
_symmetry_space_group_name_H-M 'P 4 m m'
_symmetry_Int_Tables_number 99
_symmetry_space_group_name_Hall 'P 4 -2'
loop_
_atom_site_label
_atom_site_type_symbol
_atom_site_fract_x
_atom_site_fract_y
_atom_site_fract_z
Dy1 Dy 0.000 0.000 0.000
Y1 Y 0.500 0.500 0.542
S1 S 0.000 0.000 0.414
S2 S 0.500 0.500 0.129
F1 F 0.000 0.500 0.773
# Uncorrected energy: -41.034 eV per formula unit


Entry 6:
# DySeF | the Open Quantum Materials Database | PBE | relaxed
data_DySeF
_chemical_formula_sum 'Dy6 Se6 F6'
_cell_length_a 4.0580
_cell_length_b 4.0580
_cell_length_c 26.3871
_cell_angle_alpha 90.00
_cell_angle_beta 90.00
_cell_angle_gamma 120.00
_symmetry_space_group_name_H-M 'R -3 m'
_symmetry_Int_Tables_number 166
_symmetry_space_group_name_Hall '-R 3 2"'
loop_
_atom_site_label
_atom_site_type_symbol
_atom_site_fract_x
_atom_site_fract_y
_atom_site_fract_z
Dy1 Dy 0.0000 0.0000 0.0000
Dy2 Dy 0.0000 0.0000 0.5000
Se1 Se 0.0000 0.0000 0.1073
F1 F 0.0000 0.0000 0.3324
# Uncorrected energy: -18.498 eV per formula unit


Entry 7:
# TbDySe2F2 | the Open Quantum Materials Database | PBE | relaxed
data_TbDySe2F2
_chemical_formula_sum 'Tb1 Dy1 Se2 F2'
_cell_length_a 3.855
_cell_length_b 3.855
_cell_length_c 7.023
_cell_angle_alpha 90.00
_cell_angle_beta 90.00
_cell_angle_gamma 90.00
_symmetry_space_group_name_H-M 'P 4 m m'
_symmetry_Int_Tables_number 99
_symmetry_space_group_name_Hall 'P 4 -2'
loop_
_atom_site_label
_atom_site_type_symbol
_atom_site_fract_x
_atom_site_fract_y
_atom_site_fract_z
Tb1 Tb 0.000 0.000 0.000
Dy1 Dy 0.500 0.500 0.433
Se1 Se 0.000 0.000 0.575
Se2 Se 0.500 0.500 0.856
F1 F 0.000 0.500 0.217
# Uncorrected energy: -37.131 eV per formula unit


Entry 8:
# Dy4SiF5 | the Open Quantum Materials Database | PBE | relaxed
data_Dy4SiF5
_chemical_formula_sum 'Dy8 Si2 F10'
_cell_length_a 15.353
_cell_length_b 3.539
_cell_length_c 7.329
_cell_angle_alpha 90.00
_cell_angle_beta 116.35
_cell_angle_gamma 90.00
_symmetry_space_group_name_H-M 'C 1 2/m 1'
_symmetry_Int_Tables_number 12
_symmetry_space_group_name_Hall '-C 2y'
loop_
_atom_site_label
_atom_site_type_symbol
_atom_site_fract_x
_atom_site_fract_y
_atom_site_fract_z
Dy1 Dy 0.003 0.000 0.236
Dy2 Dy 0.195 0.500 0.679
Si1 Si 0.000 0.500 0.500
F1 F 0.000 0.500 0.000
F2 F 0.177 0.000 0.435
F3 F 0.226 0.500 0.139
# Uncorrected energy: -58.941 eV per formula unit


Entry 9:
# Dy3TaF | the Open Quantum Materials Database | PBE | relaxed
data_Dy3TaF
_chemical_formula_sum 'Dy6 Ta2 F2'
_cell_length_a 8.8567
_cell_length_b 8.8567
_cell_length_c 5.0140
_cell_angle_alpha 90.00
_cell_angle_beta 90.00
_cell_angle_gamma 120.00
_symmetry_space_group_name_H-M 'P 63/m m c'
_symmetry_Int_Tables_number 194
_symmetry_space_group_name_Hall '-P 6c 2c'
loop_
_atom_site_label
_atom_site_type_symbol
_atom_site_fract_x
_atom_site_fract_y
_atom_site_fract_z
Dy1 Dy 0.1501 0.3002 0.2500
Ta1 Ta 0.3333 0.6667 0.2500
F1 F 0.0000 0.0000 0.2500
# Uncorrected energy: -23.474 eV per formula unit


Entry 10:
# TbDyTe2F2 | the Open Quantum Materials Database | PBE | relaxed
data_TbDyTe2F2
_chemical_formula_sum 'Tb1 Dy1 Te2 F2'
_cell_length_a 4.025
_cell_length_b 4.025
_cell_length_c 7.387
_cell_angle_alpha 90.00
_cell_angle_beta 90.00
_cell_angle_gamma 90.00
_symmetry_space_group_name_H-M 'P 4 m m'
_symmetry_Int_Tables_number 99
_symmetry_space_group_name_Hall 'P 4 -2'
loop_
_atom_site_label
_atom_site_type_symbol
_atom_site_fract_x
_atom_site_fract_y
_atom_site_fract_z
Tb1 Tb 0.000 0.000 0.000
Dy1 Dy 0.500 0.500 0.396
Te1 Te 0.000 0.000 0.559
Te2 Te 0.500 0.500 0.836
F1 F 0.000 0.500 0.199
# Uncorrected energy: -34.420 eV per formula unit


Entry 11:
# DyYTe2F2 | the Open Quantum Materials Database | PBE | relaxed
data_DyYTe2F2
_chemical_formula_sum 'Dy1 Y1 Te2 F2'
_cell_length_a 4.019
_cell_length_b 4.019
_cell_length_c 7.391
_cell_angle_alpha 90.00
_cell_angle_beta 90.00
_cell_angle_gamma 90.00
_symmetry_space_group_name_H-M 'P 4 m m'
_symmetry_Int_Tables_number 99
_symmetry_space_group_name_Hall 'P 4 -2'
loop_
_atom_site_label
_atom_site_type_symbol
_atom_site_fract_x
_atom_site_fract_y
_atom_site_fract_z
Dy1 Dy 0.000 0.000 0.000
Y1 Y 0.500 0.500 0.603
Te1 Te 0.000 0.000 0.441
Te2 Te 0.500 0.500 0.164
F1 F 0.000 0.500 0.804
# Uncorrected energy: -36.206 eV per formula unit


Entry 12:
# DyTh3F | the Open Quantum Materials Database | PBE | relaxed
data_DyTh3F
_chemical_formula_sum 'Dy4 Th12 F4'
_cell_length_a 7.257
_cell_length_b 10.258
_cell_length_c 7.258
_cell_angle_alpha 90.00
_cell_angle_beta 90.00
_cell_angle_gamma 90.00
_symmetry_space_group_name_H-M 'I m m a'
_symmetry_Int_Tables_number 74
_symmetry_space_group_name_Hall '-I 2b 2'
loop_
_atom_site_label
_atom_site_type_symbol
_atom_site_fract_x
_atom_site_fract_y
_atom_site_fract_z
Dy1 Dy 0.000 0.250 0.002
Th1 Th 0.000 0.250 0.500
Th2 Th 0.250 0.000 0.250
F1 F 0.000 0.000 0.500
# Uncorrected energy: -32.363 eV per formula unit